No. 1
CaPm5Sb4 | PBE | relaxed

Structure (CIF):
```
data_CaPm5Sb4
_cell_length_a 19.2560
_cell_length_b 4.4084
_cell_length_c 8.7662
_cell_angle_alpha 90.00
_cell_angle_beta 105.78
_cell_angle_gamma 90.00
_symmetry_space_group_name_H-M 'C 1 2/m 1'
_symmetry_Int_Tables_number 12
loop_
_symmetry_equiv_pos_as_xyz
'x,y,z'
'-x,-y,-z'
'-x,y,-z'
'x,-y,z'
'x+1/2,y+1/2,z'
'-x+1/2,-y+1/2,-z'
'-x+1/2,y+1/2,-z'
'x+1/2,-y+1/2,z'
loop_
_atom_site_label
_atom_site_type_symbol
_atom_site_fract_x
_atom_site_fract_y
_atom_site_fract_z
Ca1 Ca 0.0000 0.0000 0.0000
Pm1 Pm 0.0000 0.0000 0.5000
Pm2 Pm 0.1623 0.5000 0.8326
Pm3 Pm 0.1733 0.5000 0.3448
Sb1 Sb 0.0069 0.5000 0.2574
Sb2 Sb 0.1707 0.0000 0.0913
```

Uncorrected formation energy in eV per atom: -0.732

---

No. 2
Sr3Sb3Pt2 | PBE | relaxed

Structure (CIF):
```
data_Sr3Sb3Pt2
_cell_length_a 4.7455
_cell_length_b 11.5606
_cell_length_c 15.9179
_cell_angle_alpha 90.00
_cell_angle_beta 90.00
_cell_angle_gamma 90.00
_symmetry_space_group_name_H-M 'C m c m'
_symmetry_Int_Tables_number 63
_symmetry_space_group_name_Hall '-C 2c 2'
loop_
_atom_site_label
_atom_site_type_symbol
_atom_site_fract_x
_atom_site_fract_y
_atom_site_fract_z
Sr1 Sr 0.0000 0.0863 0.1103
Sr2 Sr 0.0000 0.3698 0.2500
Sb1 Sb 0.0000 0.3281 0.7500
Sb2 Sb 0.0000 0.3678 0.0333
Pt1 Pt 0.0000 0.1992 0.6006
```

Uncorrected formation energy in eV per atom: -0.944

---

No. 3
La2Sc4C | PBE | relaxed

Structure (CIF):
```
data_La2Sc4C
_cell_length_a 4.5083
_cell_length_b 4.5083
_cell_length_c 18.9142
_cell_angle_alpha 90.00
_cell_angle_beta 90.00
_cell_angle_gamma 90.00
_symmetry_space_group_name_H-M 'I 4/m m m'
_symmetry_Int_Tables_number 139
_symmetry_space_group_name_Hall '-I 4 2'
loop_
_atom_site_label
_atom_site_type_symbol
_atom_site_fract_x
_atom_site_fract_y
_atom_site_fract_z
La1 La 0.0000 0.0000 0.1861
Sc1 Sc 0.0000 0.0000 0.3824
Sc2 Sc 0.0000 0.5000 0.0000
C1 C 0.0000 0.0000 0.5000
```

Energy of formation in eV/f.u.: 0.1

---

No. 4
SnOsBr2 | PBE | relaxed

Structure (CIF):
```
data_SnOsBr2
_cell_length_a 3.7021
_cell_length_b 3.7021
_cell_length_c 30.1268
_cell_angle_alpha 90.00
_cell_angle_beta 90.00
_cell_angle_gamma 120.00
_symmetry_space_group_name_H-M 'R -3 m'
_symmetry_Int_Tables_number 166
_symmetry_space_group_name_Hall '-R 3 2"'
loop_
_atom_site_label
_atom_site_type_symbol
_atom_site_fract_x
_atom_site_fract_y
_atom_site_fract_z
Sn1 Sn 0.0000 0.0000 0.0000
Os1 Os 0.0000 0.0000 0.5000
Br1 Br 0.0000 0.0000 0.1223
```

Uncorrected formation energy in eV per atom: 0.559

---

No. 5
Be2BN | PBE | relaxed

Structure (CIF):
```
data_Be2BN
_cell_length_a 2.8937
_cell_length_b 2.8937
_cell_length_c 23.7589
_cell_angle_alpha 90.00
_cell_angle_beta 90.00
_cell_angle_gamma 120.00
_symmetry_space_group_name_H-M 'R 3 m'
_symmetry_Int_Tables_number 160
_symmetry_space_group_name_Hall 'R 3 -2"'
loop_
_atom_site_label
_atom_site_type_symbol
_atom_site_fract_x
_atom_site_fract_y
_atom_site_fract_z
Be1 Be 0.0000 0.0000 0.0000
Be2 Be 0.0000 0.0000 0.1407
Be3 Be 0.0000 0.0000 0.4000
Be4 Be 0.0000 0.0000 0.6030
B1 B 0.0000 0.0000 0.5182
B2 B 0.0000 0.0000 0.8535
N1 N 0.0000 0.0000 0.0705
N2 N 0.0000 0.0000 0.3030
```

Uncorrected formation energy in eV per atom: -0.651

---

No. 6
CuAu2Br | PBE | relaxed

Structure (CIF):
```
data_CuAu2Br
_cell_length_a 5.2964
_cell_length_b 13.1978
_cell_length_c 3.5334
_cell_angle_alpha 90.00
_cell_angle_beta 131.66
_cell_angle_gamma 90.00
_symmetry_space_group_name_H-M 'C 1 2/m 1'
_symmetry_Int_Tables_number 12
loop_
_symmetry_equiv_pos_as_xyz
'x,y,z'
'-x,-y,-z'
'-x,y,-z'
'x,-y,z'
'x+1/2,y+1/2,z'
'-x+1/2,-y+1/2,-z'
'-x+1/2,y+1/2,-z'
'x+1/2,-y+1/2,z'
loop_
_atom_site_label
_atom_site_type_symbol
_atom_site_fract_x
_atom_site_fract_y
_atom_site_fract_z
Cu1 Cu 0.0000 0.0000 0.0000
Au1 Au 0.2500 0.2500 0.5000
Br1 Br 0.0000 0.5000 0.0000
```

Uncorrected formation energy in eV per atom: 0.265

---

No. 7
TbZrCd | PBE | relaxed

Structure (CIF):
```
data_TbZrCd
_cell_length_a 3.3358
_cell_length_b 3.3358
_cell_length_c 13.5725
_cell_angle_alpha 90.00
_cell_angle_beta 90.00
_cell_angle_gamma 90.00
_symmetry_space_group_name_H-M 'P 4/n m m'
_symmetry_Int_Tables_number 129
loop_
_symmetry_equiv_pos_as_xyz
'x,y,z'
'-x,-y,-z'
'-y+1/2,x,z'
'y+1/2,-x,-z'
'-x+1/2,-y+1/2,z'
'x+1/2,y+1/2,-z'
'y,-x+1/2,z'
'-y,x+1/2,-z'
'x+1/2,-y,-z'
'-x+1/2,y,z'
'-y,-x,-z'
'y,x,z'
'-x,y+1/2,-z'
'x,-y+1/2,z'
'y+1/2,x+1/2,-z'
'-y+1/2,-x+1/2,z'
loop_
_atom_site_label
_atom_site_type_symbol
_atom_site_fract_x
_atom_site_fract_y
_atom_site_fract_z
Tb1 Tb 0.2500 0.2500 0.2445
Zr1 Zr 0.2500 0.2500 0.5788
Cd1 Cd 0.2500 0.2500 0.9267
```

Energy of formation in eV/f.u.: -0.3

---

No. 8
Tm5AlCu2 | PBE | relaxed

Structure (CIF):
```
data_Tm5AlCu2
_cell_length_a 7.6666
_cell_length_b 7.6666
_cell_length_c 12.9023
_cell_angle_alpha 90.00
_cell_angle_beta 90.00
_cell_angle_gamma 90.00
_symmetry_space_group_name_H-M 'I 4/m c m'
_symmetry_Int_Tables_number 140
_symmetry_space_group_name_Hall '-I 4 2c'
loop_
_atom_site_label
_atom_site_type_symbol
_atom_site_fract_x
_atom_site_fract_y
_atom_site_fract_z
Tm1 Tm 0.0000 0.0000 0.0000
Tm2 Tm 0.1595 0.3405 0.1446
Al1 Al 0.0000 0.0000 0.2500
Cu1 Cu 0.1263 0.3737 0.5000
```

Energy of formation in eV/f.u.: -1.8

---

no.,DOS(E_F) (states/eV per cell)
1,14.59
2,13.06
3,26.13
4,4.04
5,2.33
6,3.22
7,6.29
8,41.47